! Li3Mn2SbO6 | Alexandria via LeMat-Bulk | GGA+U | relaxed; values from VASP
! Uncorrected energy (eV per atom): -6.334
&SYSTEM
  ibrav = 0, nat = 12, ntyp = 4
/
ATOMIC_SPECIES
Sb 121.76 Sb.upf
Mn 54.94 Mn.upf
O 16.00 O.upf
Li 6.94 Li.upf
ATOMIC_POSITIONS crystal
Sb 0.000 0.000 0.000
Mn 0.000 0.332 0.668
Mn 0.000 0.668 0.332
O 0.764 0.923 0.618
O 0.229 0.770 0.770
O 0.236 0.077 0.382
O 0.764 0.618 0.923
O 0.771 0.230 0.230
O 0.236 0.382 0.077
Li 0.500 0.156 0.844
Li 0.500 0.844 0.156
Li 0.500 0.500 0.500
CELL_PARAMETERS angstrom
5.303 -0.003 -0.006
-0.932 5.367 -0.010
-0.932 -2.923 4.501